# 1
A relaxed structure of BaCaP2S8. Source: the Alexandria database, functional GGA-PBE.

Unit cell a=5.984 b=5.984 c=9.819 alpha=90.00 beta=90.00 gamma=120.00
Fractional positions:
Ba  0.000  0.000  0.000
Ca  0.000  0.000  0.500
P  0.333  0.667  0.765
P  0.667  0.333  0.235
S  0.003  0.343  0.704
S  0.333  0.667  0.973
S  0.340  0.997  0.704
S  0.343  0.340  0.296
S  0.657  0.660  0.704
S  0.660  0.003  0.296
S  0.667  0.333  0.027
S  0.997  0.657  0.296

# 2
A relaxed structure of Ba2CaSbP. Source: the Alexandria database, functional GGA-PBE.

Unit cell a=6.128 b=6.128 c=5.420 alpha=90.00 beta=90.00 gamma=90.00
Fractional positions:
Ba  0.000  0.500  0.000
Ba  0.500  0.000  0.000
Ca  0.000  0.000  0.500
Sb  0.500  0.500  0.500
P  0.000  0.000  0.000

# 3
A relaxed structure of BaCa2SnP. Source: the Alexandria database, functional GGA-PBE.

Unit cell a=5.398 b=5.398 c=6.677 alpha=90.00 beta=90.00 gamma=90.00
Fractional positions:
Ba  0.000  0.000  0.000
Ca  0.000  0.500  0.440
Ca  0.500  0.000  0.440
Sn  0.500  0.500  0.134
P  0.000  0.000  0.534

# 4
A relaxed structure of BaCaSnP2. Source: the Alexandria database, functional GGA-PBE.

Unit cell a=7.352 b=6.200 c=6.641 alpha=90.00 beta=116.73 gamma=90.00
Fractional positions:
Ba  0.000  0.218  0.250
Ba  0.000  0.782  0.750
Ca  0.500  0.500  0.250
Ca  0.500  0.500  0.750
Sn  0.500  0.000  0.000
Sn  0.500  0.000  0.500
P  0.170  0.292  0.836
P  0.170  0.708  0.336
P  0.830  0.292  0.664
P  0.830  0.708  0.164

no.,E_tot (eV per cell),volume (Å³/f.u.)
1,-56.5,304.5
2,-19.8,203.5
3,-18.9,194.6
4,-44.8,135.2